1.
BeReI2N | PBE-GGA | relaxed

E above lowest polymorph = 0.0000 eV/atom
Final energy = -0.343 Ry/atom
Space group = P4/mmm, No. 123
Formation energy without anion corrections = 0.85 eV per atom

Unit cell a=5.5569 b=5.5569 c=3.7664 alpha=90.00 beta=90.00 gamma=90.00
Element x y z (fractional)
Be (0.0000, 0.0000, 0.0000)
Re (0.5000, 0.5000, 0.5000)
I (0.0000, 0.5000, 0.5000)
I (0.5000, 0.0000, 0.5000)
N (0.5000, 0.5000, 0.0000)

2.
BeRhI2N | PBE-GGA | relaxed

E above lowest polymorph = 0.0000 eV/atom
Final energy = -0.280 Ry/atom
Space group = P4/mmm, No. 123
Formation energy without anion corrections = 0.70 eV per atom

Unit cell a=5.3735 b=5.3735 c=3.1332 alpha=90.00 beta=90.00 gamma=90.00
Element x y z (fractional)
Be (0.0000, 0.0000, 0.0000)
Rh (0.5000, 0.5000, 0.5000)
I (0.0000, 0.5000, 0.0000)
I (0.5000, 0.0000, 0.0000)
N (0.0000, 0.0000, 0.5000)

3.
BeRhI2N | PBE-GGA | relaxed

E above lowest polymorph = 0.1068 eV/atom
Final energy = -0.272 Ry/atom
Space group = P4/mmm, No. 123
Formation energy without anion corrections = 0.80 eV per atom

Unit cell a=5.5827 b=5.5827 c=3.7008 alpha=90.00 beta=90.00 gamma=90.00
Element x y z (fractional)
Be (0.0000, 0.0000, 0.0000)
Rh (0.5000, 0.5000, 0.5000)
I (0.0000, 0.5000, 0.5000)
I (0.5000, 0.0000, 0.5000)
N (0.5000, 0.5000, 0.0000)

4.
BeRuIN2 | PBE-GGA | relaxed

E above lowest polymorph = 0.0000 eV/atom
Final energy = -0.379 Ry/atom
Space group = P4/mmm, No. 123
Formation energy without anion corrections = 1.08 eV per atom

Unit cell a=3.7924 b=3.7924 c=5.8886 alpha=90.00 beta=90.00 gamma=90.00
Element x y z (fractional)
Be (0.0000, 0.0000, 0.0000)
Ru (0.5000, 0.5000, 0.5000)
I (0.5000, 0.5000, 0.0000)
N (0.0000, 0.5000, 0.5000)
N (0.5000, 0.0000, 0.5000)

5.
BeRuI2N | PBE-GGA | relaxed

E above lowest polymorph = 0.0000 eV/atom
Final energy = -0.303 Ry/atom
Space group = P4/mmm, No. 123
Formation energy without anion corrections = 0.76 eV per atom

Unit cell a=5.5064 b=5.5064 c=3.7106 alpha=90.00 beta=90.00 gamma=90.00
Element x y z (fractional)
Be (0.0000, 0.0000, 0.0000)
Ru (0.5000, 0.5000, 0.5000)
I (0.0000, 0.5000, 0.5000)
I (0.5000, 0.0000, 0.5000)
N (0.5000, 0.5000, 0.0000)

6.
BeRuIN2 | PBE-GGA | relaxed

E above lowest polymorph = 0.5874 eV/atom
Final energy = -0.336 Ry/atom
Space group = P4/mmm, No. 123
Formation energy without anion corrections = 1.67 eV per atom

Unit cell a=3.6349 b=3.6349 c=5.4758 alpha=90.00 beta=90.00 gamma=90.00
Element x y z (fractional)
Be (0.0000, 0.0000, 0.0000)
Ru (0.5000, 0.5000, 0.5000)
I (0.0000, 0.0000, 0.5000)
N (0.0000, 0.5000, 0.0000)
N (0.5000, 0.0000, 0.0000)

7.
BeRuI2N | PBE-GGA | relaxed

E above lowest polymorph = 0.1479 eV/atom
Final energy = -0.292 Ry/atom
Space group = P4/mmm, No. 123
Formation energy without anion corrections = 0.91 eV per atom

Unit cell a=5.2908 b=5.2908 c=3.1429 alpha=90.00 beta=90.00 gamma=90.00
Element x y z (fractional)
Be (0.0000, 0.0000, 0.0000)
Ru (0.5000, 0.5000, 0.5000)
I (0.0000, 0.5000, 0.0000)
I (0.5000, 0.0000, 0.0000)
N (0.0000, 0.0000, 0.5000)

8.
BeSIN2 | PBE-GGA | relaxed

E above lowest polymorph = 0.0000 eV/atom
Final energy = -0.277 Ry/atom
Space group = P4/mmm, No. 123
Formation energy without anion corrections = 1.44 eV per atom

Unit cell a=3.6356 b=3.6356 c=6.8345 alpha=90.00 beta=90.00 gamma=90.00
Element x y z (fractional)
Be (0.0000, 0.0000, 0.0000)
S (0.0000, 0.0000, 0.5000)
I (0.5000, 0.5000, 0.5000)
N (0.0000, 0.5000, 0.0000)
N (0.5000, 0.0000, 0.0000)